This record from the Alexandria database describes TaTl3Te6Pd2 after structural relaxation. The functional is GGA-PBE.

a b c (Å): 7.182 7.182 8.191
angles (deg): 98.33 98.33 120.28
Fractional coordinates of all 12 atoms:
1 Ta 0.000 0.000 0.000
2 Tl 0.162 0.838 0.500
3 Tl 0.500 0.500 0.500
4 Tl 0.838 0.162 0.500
5 Te 0.062 0.397 0.188
6 Te 0.272 0.272 0.813
7 Te 0.397 0.062 0.188
8 Te 0.603 0.938 0.812
9 Te 0.728 0.728 0.187
10 Te 0.938 0.603 0.812
11 Pd 0.334 0.666 0.000
12 Pd 0.666 0.334 0.000

Results
Crystal system ... monoclinic
Raw formation energy ... -0.2168 eV/atom


This record from the Alexandria database describes Th2TaPd9 after structural relaxation. The functional is GGA-PBE.

a b c (Å): 4.179 4.179 12.206
angles (deg): 90.00 90.00 90.00
Fractional coordinates of all 12 atoms:
1 Th 0.000 0.000 0.175
2 Th 0.000 0.000 0.825
3 Ta 0.000 0.000 0.500
4 Pd 0.000 0.500 0.000
5 Pd 0.000 0.500 0.348
6 Pd 0.000 0.500 0.652
7 Pd 0.500 0.000 0.000
8 Pd 0.500 0.000 0.348
9 Pd 0.500 0.000 0.652
10 Pd 0.500 0.500 0.174
11 Pd 0.500 0.500 0.500
12 Pd 0.500 0.500 0.826

Results
Crystal system ... tetragonal
ΔE_f ... -687 meV per atom


Number 1: DFT total energy -0.15554 Ha/atom. Number 2: DFT total energy -0.25011 Ha/atom.